## Ca3Ge3Au8 (SCAN)

Data for a crystal of Ca3Ge3Au8 relaxed with PBEsol.

- Calculated volume: 19.69 Å³/atom
- Calculated total energy: -46.330 eV per atom
- E_form: -651 meV per atom

Cell lengths 4.3825, 9.4712, 13.2844 Å; angles 91.29, 90.00, 90.00 degrees
With the nearest neighbours (Å) after each atom.
Sites, in units of the cell vectors:
1 Ca 0.5000 0.9990 0.8138  5 Ge 3.08-3.32, 9 Au 3.09-3.39
2 Ca 0.5000 0.0010 0.1862  5 Ge 3.08-3.32, 9 Au 3.09-3.39
3 Ca 0.0000 0.4921 0.6848  10 Au 3.06-3.29, 3 Ge 3.14-3.37
4 Ca 0.0000 0.5079 0.3152  10 Au 3.06-3.29, 3 Ge 3.14-3.37
5 Ca 0.0000 0.5000 0.0000  6 Au 3.05-3.28, 2 Ge 3.09
6 Ca 0.5000 0.0000 0.5000  12 Au 3.12-3.47
7 Ge 0.5000 0.3493 0.8183  5 Au 2.50-2.77
8 Ge 0.5000 0.6507 0.1817  5 Au 2.50-2.77
9 Ge 0.0000 0.8476 0.6897  4 Au 2.49-2.72, 1 Ge 2.61
10 Ge 0.0000 0.1524 0.3103  4 Au 2.49-2.72, 1 Ge 2.61
11 Ge 0.0000 0.7736 0.8781  1 Ge 2.61, 5 Au 2.66-2.75
12 Ge 0.0000 0.2264 0.1219  1 Ge 2.61, 5 Au 2.66-2.75
13 Au 0.5000 0.7316 0.6399  2 Ge 2.53, 2 Au 2.83
14 Au 0.5000 0.2684 0.3601  2 Ge 2.53, 2 Au 2.83
15 Au 0.0000 0.2357 0.8639  2 Ge 2.52
16 Au 0.0000 0.7643 0.1361  2 Ge 2.52
17 Au 0.5000 0.3877 0.1633  3 Ge 2.50-2.72, 1 Au 2.77
18 Au 0.5000 0.6123 0.8367  3 Ge 2.50-2.72, 1 Au 2.77
19 Au 0.0000 0.8939 0.3393  1 Ge 2.49, 2 Au 2.77
20 Au 0.0000 0.1061 0.6607  1 Ge 2.49, 2 Au 2.77
21 Au 0.5000 0.2052 0.9972  3 Ge 2.75-2.77, 5 Au 2.77-2.93
22 Au 0.5000 0.7948 0.0028  3 Ge 2.75-2.77, 5 Au 2.77-2.93
23 Au 0.0000 0.7168 0.5052  1 Ge 2.72, 7 Au 2.80-3.00
24 Au 0.0000 0.2832 0.4948  1 Ge 2.72, 7 Au 2.80-3.00
25 Au 0.5000 0.5000 0.5000  8 Au 2.75-3.00
26 Au 0.0000 0.0000 0.0000  2 Ge 2.66, 6 Au 2.90-2.93
27 Au 0.5000 0.2780 0.6305  1 Ge 2.57, 5 Au 2.75-2.84
28 Au 0.5000 0.7220 0.3695  1 Ge 2.57, 5 Au 2.75-2.84